(1)
Compound: NdCdAsS
Source: Alexandria via LeMat-Bulk
Functional: PBE
Structure: relaxed

a b c (Å): 4.5483 4.5483 9.5293
angles (deg): 90.00 90.00 90.00
With the nearest neighbours (Å) after each atom.
Space group P4/nmm (No. 129, origin choice 2)
One atom of each set of equivalent atoms:
Nd 0.2500 0.2500 0.1635  4 S 2.76
Cd 0.2500 0.7500 0.5000  4 As 2.86
As 0.2500 0.2500 0.6819  4 Cd 2.86
S 0.2500 0.7500 0.0000  4 Nd 2.76

## Properties
Formation energy without anion corrections = -989 meV/atom
DOS at the Fermi energy = 0.002 states/eV/atom
Total moment = 0.00 μB per cell
E_tot = -4.60 eV/atom

***

(2)
Compound: Tb2PrEr
Source: Alexandria via LeMat-Bulk
Functional: PBE
Structure: relaxed

a b c (Å): 3.6009 3.6009 34.9147
angles (deg): 90.00 90.00 120.00
With the nearest neighbours (Å) after each atom.
Space group R3m (No. 160, hexagonal axes)
One atom of each set of equivalent atoms:
Tb 0.0000 0.0000 0.0000  3 Er 3.52, 6 Tb 3.60, 3 Pr 3.65
Tb 0.0000 0.0000 0.1711  3 Er 3.51, 6 Tb 3.60, 3 Pr 3.63
Pr 0.0000 0.0000 0.4193  6 Pr 3.60, 6 Tb 3.63-3.65
Er 0.0000 0.0000 0.5854  6 Tb 3.51-3.52, 6 Er 3.60

## Properties
DOS at the Fermi energy = 1.439 states/eV/atom
Total moment = 0.00 μB per cell
Relative energy among the computed polymorphs = 0 meV/atom
Formation energy = 0.020 eV per atom
E_tot = -4.63 eV/atom

***

(3)
Compound: BaCd5Hg3
Source: Alexandria via LeMat-Bulk
Functional: PBE
Structure: relaxed

a b c (Å): 4.5605 15.0494 14.4123
angles (deg): 90.00 90.00 90.00
With the nearest neighbours (Å) after each atom.
Space group Cmcm (No. 63)
One atom of each set of equivalent atoms:
Ba 0.0000 0.1678 0.2500  6 Hg 3.54-3.62
Cd 0.0000 0.0000 0.0000  6 Cd 2.98-3.23, 4 Hg 3.06
Cd 0.0000 0.1916 0.5530  4 Hg 2.87-3.09, 1 Cd 2.98
Cd 0.0000 0.4412 0.1463  3 Hg 2.89-3.02, 3 Cd 2.99-3.23
Hg 0.0000 0.1453 0.7500  6 Cd 2.92-3.02
Hg 0.0000 0.3814 0.5696  6 Cd 2.87-3.09

## Properties
DOS at the Fermi energy = 0.422 states/eV/atom
Total moment = 0.00 μB per cell
Formation energy = -0.183 eV per atom
E_tot = -1.01 eV/atom

***

(4)
Compound: TaMn2Sb
Source: Alexandria via LeMat-Bulk
Functional: PBE
Structure: relaxed

a b c (Å): 3.3768 3.3768 5.6663
angles (deg): 90.00 90.00 90.00
With the nearest neighbours (Å) after each atom.
Space group P4mm (No. 99)
One atom of each set of equivalent atoms:
Ta 0.0000 0.0000 0.0000  5 Mn 2.57-2.68
Mn 0.0000 0.0000 0.4535  1 Ta 2.57, 4 Sb 2.74, 4 Mn 2.74
Mn 0.5000 0.5000 0.2148  4 Ta 2.68, 2 Sb 2.70-2.96, 4 Mn 2.74
Sb 0.5000 0.5000 0.6920  6 Mn 2.70-2.96, 4 Ta 2.96

## Properties
Formation energy without anion corrections = 168 meV/atom
DOS at the Fermi energy = 0.645 states/eV/atom
Total moment = 4.23 μB per cell
E_tot = -8.41 eV/atom

***

(5)
Compound: CeSmAu6
Source: Alexandria via LeMat-Bulk
Functional: PBE
Structure: relaxed

a b c (Å): 5.5987 5.5989 5.5993
angles (deg): 96.60 96.43 96.46
With the nearest neighbours (Å) after each atom.
Space group P-1 (No. 2)
One atom of each set of equivalent atoms:
Ce 0.0000 0.0000 0.0000  12 Au 3.13-3.14
Sm 0.5000 0.5000 0.5000  12 Au 3.13-3.14
Au 0.0260 0.7493 0.4735  4 Au 2.83-2.96, 2 Sm 3.13-3.14, 2 Ce 3.14
Au 0.2507 0.5259 0.9743  4 Au 2.82-2.96, 2 Sm 3.13-3.14, 2 Ce 3.14
Au 0.4739 0.0261 0.7494  4 Au 2.83-2.96, 2 Sm 3.13-3.14, 2 Ce 3.13-3.14

## Properties
DOS at the Fermi energy = 0.899 states/eV/atom
Total moment = 0.83 μB per cell
Formation energy = -0.637 eV per atom
E_tot = -4.43 eV/atom

***

(6)
Compound: Be2NbBS
Source: Alexandria via LeMat-Bulk
Functional: PBE
Structure: relaxed

a b c (Å): 3.7232 3.7232 4.8027
angles (deg): 90.00 90.00 90.00
With the nearest neighbours (Å) after each atom.
Space group P4/mmm (No. 123)
One atom of each set of equivalent atoms:
Be 0.0000 0.5000 0.0000  2 S 1.86
Nb 0.0000 0.0000 0.5000  2 S 2.40, 4 B 2.63
B 0.5000 0.5000 0.5000  4 Nb 2.63
S 0.0000 0.0000 0.0000  4 Be 1.86

## Properties
Formation energy without anion corrections = 816 meV/atom
DOS at the Fermi energy = 0.461 states/eV/atom
Total moment = 0.00 μB per cell
E_tot = -4.85 eV/atom

***

(7)
Compound: TbY2Er4Mg
Source: Alexandria via LeMat-Bulk
Functional: PBE
Structure: relaxed

a b c (Å): 4.9183 4.9293 10.0193
angles (deg): 90.00 90.00 90.00
With the nearest neighbours (Å) after each atom.
Space group Pmmm (No. 47)
One atom of each set of equivalent atoms:
Tb 0.0000 0.0000 0.0000  4 Y 3.48, 8 Er 3.52
Y 0.0000 0.0000 0.5000  4 Mg 3.48, 8 Er 3.50
Y 0.5000 0.5000 0.0000  4 Tb 3.48, 8 Er 3.52-3.53
Er 0.0000 0.5000 0.2515  4 Er 3.48, 2 Mg 3.50, 4 Y 3.50-3.52, 2 Tb 3.52
Er 0.5000 0.0000 0.2517  4 Er 3.48, 4 Y 3.50-3.53, 2 Mg 3.50, 2 Tb 3.52
Mg 0.5000 0.5000 0.5000  4 Y 3.48, 8 Er 3.50

## Properties
DOS at the Fermi energy = 1.523 states/eV/atom
Total moment = 0.00 μB per cell
Formation energy = 0.027 eV per atom
E_tot = -4.65 eV/atom

***

(8)
Compound: YRe3F
Source: Alexandria via LeMat-Bulk
Functional: PBE
Structure: relaxed

a b c (Å): 4.3778 4.3778 4.3778
angles (deg): 90.00 90.00 90.00
With the nearest neighbours (Å) after each atom.
Space group Pm-3m (No. 221)
One atom of each set of equivalent atoms:
Y 0.0000 0.0000 0.0000  12 Re 3.10
Re 0.0000 0.5000 0.5000  2 F 2.19
F 0.5000 0.5000 0.5000  6 Re 2.19

## Properties
Formation energy without anion corrections = 1070 meV/atom
DOS at the Fermi energy = 1.447 states/eV/atom
Total moment = 2.18 μB per cell
Relative energy among the computed polymorphs = 0 meV/atom
E_tot = -8.07 eV/atom

***

(9)
Compound: Nd3CdCo
Source: Alexandria via LeMat-Bulk
Functional: PBE
Structure: relaxed

a b c (Å): 10.3587 6.7325 9.0648
angles (deg): 90.00 119.91 90.00
With the nearest neighbours (Å) after each atom.
Space group C2/m (No. 12)
One atom of each set of equivalent atoms:
Nd 0.0571 0.0000 0.2374  2 Co 2.76
Nd 0.1850 0.5000 0.8934  2 Co 2.90
Nd 0.1996 0.5000 0.2990  2 Co 2.82
Cd 0.0000 0.2874 0.5000  1 Cd 2.86
Co 0.0000 0.2928 0.0000  6 Nd 2.76-2.90, 1 Co 2.79

## Properties
DOS at the Fermi energy = 0.991 states/eV/atom
Total moment = 0.00 μB per cell
Relative energy among the computed polymorphs = 0 meV/atom
Formation energy = -0.137 eV per atom
E_tot = -4.60 eV/atom

***

(10)
Compound: TeP2RhCl
Source: Alexandria via LeMat-Bulk
Functional: PBE
Structure: relaxed

a b c (Å): 4.6914 4.6914 4.7023
angles (deg): 90.00 90.00 90.00
With the nearest neighbours (Å) after each atom.
Space group P4/mmm (No. 123)
One atom of each set of equivalent atoms:
Te 0.0000 0.0000 0.0000  4 Cl 3.32, 8 P 3.32
P 0.0000 0.5000 0.5000  2 Rh 2.35
Rh 0.5000 0.5000 0.5000  4 P 2.35, 2 Cl 2.35
Cl 0.5000 0.5000 0.0000  2 Rh 2.35

## Properties
Formation energy without anion corrections = 341 meV/atom
DOS at the Fermi energy = 0.554 states/eV/atom
Total moment = 0.00 μB per cell
Relative energy among the computed polymorphs = 0 meV/atom
E_tot = -4.29 eV/atom

***

(11)
Compound: Nd12ScIn3
Source: Alexandria via LeMat-Bulk
Functional: PBE
Structure: relaxed

a b c (Å): 4.9897 4.9897 20.1739
angles (deg): 90.00 90.00 90.00
With the nearest neighbours (Å) after each atom.
Space group P4/mmm (No. 123)
One atom of each set of equivalent atoms:
Nd 0.0000 0.0000 0.0000  4 In 3.53, 8 Nd 3.54
Nd 0.0000 0.0000 0.2489  4 In 3.53, 8 Nd 3.54
Nd 0.0000 0.0000 0.5000  4 Sc 3.53, 8 Nd 3.58
Nd 0.0000 0.5000 0.1244  4 In 3.51-3.54, 8 Nd 3.53-3.54
Nd 0.0000 0.5000 0.3731  8 Nd 3.53-3.58, 2 In 3.57, 2 Sc 3.58
Sc 0.5000 0.5000 0.5000  12 Nd 3.53-3.58
In 0.5000 0.5000 0.0000  12 Nd 3.53-3.54
In 0.5000 0.5000 0.2465  12 Nd 3.51-3.57

## Properties
DOS at the Fermi energy = 1.430 states/eV/atom
Total moment = 0.00 μB per cell
Formation energy = -0.193 eV per atom
E_tot = -4.68 eV/atom

***

(12)
Compound: ReMoAsBr2
Source: Alexandria via LeMat-Bulk
Functional: PBE
Structure: relaxed

a b c (Å): 5.2436 5.2436 4.7656
angles (deg): 90.00 90.00 90.00
With the nearest neighbours (Å) after each atom.
Space group P4/mmm (No. 123)
One atom of each set of equivalent atoms:
Re 0.0000 0.0000 0.0000  2 As 2.38, 4 Br 2.62
Mo 0.5000 0.5000 0.5000  8 Br 3.54, 4 As 3.71
As 0.0000 0.0000 0.5000  2 Re 2.38
Br 0.0000 0.5000 0.0000  2 Re 2.62

## Properties
Formation energy without anion corrections = 1269 meV/atom
DOS at the Fermi energy = 1.051 states/eV/atom
Total moment = 5.95 μB per cell
Relative energy among the computed polymorphs = 0 meV/atom
E_tot = -4.99 eV/atom